# 1
VASP calculation (PBE-GGA) on a relaxed structure of Zr4TcBi.

The theoretical density is 7.78 g/cm³. The calculation puts the calculated formation energy at 0.045 eV/atom. The value obtained for the size of the total moment is 0.00 μB/f.u. The value obtained for the calculated volume is 23.9 Å³ per atom.

The space group is C2/c (No. 15) and the conventional cell measures 16.029, 5.640 and 6.741 Å, with angles of 90.00, 109.73 and 90.00 degrees. The inequivalent atoms are Zr at (0.095, 0.107, 0.185), Zr at (0.191, 0.369, 0.792), Tc at (0.250, 0.250, 0.500) and Bi at (0.000, 0.369, 0.750).



# 2
VASP calculation (PBE-GGA) on a relaxed structure of Cs2S2Br.

The theoretical density is 4.20 g/cm³. The value obtained for the size of the total moment is 0.00 μB/f.u. The distance to the lowest polymorph of the same formula comes out at 0.2509 eV per atom. The value obtained for the calculated volume is 32.4 Å³ per atom.

The space group is I4/mmm (No. 139) and the conventional cell measures 3.935, 3.935 and 20.940 Å, with angles of 90.00, 90.00 and 90.00 degrees. The inequivalent atoms are Cs at (0.000, 0.000, 0.110), S at (0.000, 0.500, 0.250) and Br at (0.000, 0.000, 0.500).



# 3
VASP calculation (PBE-GGA) on a relaxed structure of Ce2Ga5Ni3.

The theoretical density is 7.85 g/cm³. The calculation puts the calculated formation energy at -0.555 eV/atom. The value obtained for the size of the total moment is 0.00 μB/f.u. The distance to the lowest polymorph of the same formula comes out at 0.0214 eV per atom. The value obtained for the calculated volume is 17.0 Å³ per atom.

The space group is Cmc2_1 (No. 36) and the conventional cell measures 4.245, 24.045 and 6.669 Å, with angles of 90.00, 90.00 and 90.00 degrees. The inequivalent atoms are Ce at (0.000, 0.023, 0.000), Ce at (0.000, 0.327, 0.059), Ga at (0.000, 0.100, 0.365), Ga at (0.000, 0.205, 0.874), Ga at (0.000, 0.210, 0.267), Ga at (0.000, 0.373, 0.526), Ga at (0.000, 0.449, 0.173), Ni at (0.000, 0.106, 0.754), Ni at (0.000, 0.271, 0.573) and Ni at (0.000, 0.450, 0.786).



Copy entry 1 word for word.
VASP calculation (PBE-GGA) on a relaxed structure of Zr4TcBi.

The theoretical density is 7.78 g/cm³. The calculation puts the calculated formation energy at 0.045 eV/atom. The value obtained for the size of the total moment is 0.00 μB/f.u. The value obtained for the calculated volume is 23.9 Å³ per atom.

The space group is C2/c (No. 15) and the conventional cell measures 16.029, 5.640 and 6.741 Å, with angles of 90.00, 109.73 and 90.00 degrees. The inequivalent atoms are Zr at (0.095, 0.107, 0.185), Zr at (0.191, 0.369, 0.792), Tc at (0.250, 0.250, 0.500) and Bi at (0.000, 0.369, 0.750).